1.
This record from Alexandria via LeMat-Bulk describes crystalline TbPaPtRh at its relaxed geometry. The functional is GGA-PBE.

## Properties
- Crystal system: orthorhombic
- E_form: -0.9963 eV per atom
- DOS(E_F): 1.040 states/eV/atom
- Offset from the most stable computed form: 0 meV/atom
- Space-group type: Amm2 (38)

```
data_TbPaPtRh
_cell_length_a 3.711
_cell_length_b 4.267
_cell_length_c 5.829
_cell_angle_alpha 90.00
_cell_angle_beta 108.56
_cell_angle_gamma 90.00
_symmetry_space_group_name_H-M 'P 1'
_symmetry_Int_Tables_number 1
loop_
_symmetry_equiv_pos_as_xyz
'x,y,z'
loop_
_atom_site_label
_atom_site_type_symbol
_atom_site_fract_x
_atom_site_fract_y
_atom_site_fract_z
Pt1 Pt 0.588 0.500 0.177
Pa1 Pa 0.868 0.500 0.737
Rh1 Rh 0.400 0.000 0.801
Tb1 Tb 0.143 0.000 0.286
```


2.
This record from Alexandria via LeMat-Bulk describes crystalline TbPaPtRh at its relaxed geometry. The functional is GGA-PBE.

## Properties
- Crystal system: cubic
- E_form: -0.7893 eV per atom
- DOS(E_F): 1.616 states/eV/atom
- Offset from the most stable computed form: 207 meV/atom
- Space-group type: F-43m (216)

```
data_TbPaPtRh
_cell_length_a 4.926
_cell_length_b 4.926
_cell_length_c 4.926
_cell_angle_alpha 60.00
_cell_angle_beta 60.00
_cell_angle_gamma 60.00
_symmetry_space_group_name_H-M 'P 1'
_symmetry_Int_Tables_number 1
loop_
_symmetry_equiv_pos_as_xyz
'x,y,z'
loop_
_atom_site_label
_atom_site_type_symbol
_atom_site_fract_x
_atom_site_fract_y
_atom_site_fract_z
Rh1 Rh 0.250 0.250 0.250
Pt1 Pt 0.750 0.750 0.750
Pa1 Pa 0.500 0.500 0.500
Tb1 Tb 0.000 0.000 0.000
```


3.
This record from Alexandria via LeMat-Bulk describes crystalline UPaPtRh at its relaxed geometry. The functional is GGA-PBE.

## Properties
- Crystal system: cubic
- E_form: -0.7181 eV per atom
- DOS(E_F): 1.769 states/eV/atom
- Space-group type: F-43m (216)

```
data_UPaPtRh
_cell_length_a 4.720
_cell_length_b 4.720
_cell_length_c 4.720
_cell_angle_alpha 60.00
_cell_angle_beta 60.00
_cell_angle_gamma 60.00
_symmetry_space_group_name_H-M 'P 1'
_symmetry_Int_Tables_number 1
loop_
_symmetry_equiv_pos_as_xyz
'x,y,z'
loop_
_atom_site_label
_atom_site_type_symbol
_atom_site_fract_x
_atom_site_fract_y
_atom_site_fract_z
Rh1 Rh 0.500 0.500 0.500
Pt1 Pt 0.250 0.250 0.250
U1 U 0.750 0.750 0.750
Pa1 Pa 0.000 0.000 0.000
```


4.
This record from Alexandria via LeMat-Bulk describes crystalline PaZnPtRh at its relaxed geometry. The functional is GGA-PBE.

## Properties
- Crystal system: cubic
- E_form: -0.6869 eV per atom
- DOS(E_F): 0.900 states/eV/atom
- Space-group type: F-43m (216)

```
data_PaZnPtRh
_cell_length_a 4.702
_cell_length_b 4.702
_cell_length_c 4.702
_cell_angle_alpha 60.00
_cell_angle_beta 60.00
_cell_angle_gamma 60.00
_symmetry_space_group_name_H-M 'P 1'
_symmetry_Int_Tables_number 1
loop_
_symmetry_equiv_pos_as_xyz
'x,y,z'
loop_
_atom_site_label
_atom_site_type_symbol
_atom_site_fract_x
_atom_site_fract_y
_atom_site_fract_z
Zn1 Zn 0.750 0.750 0.750
Pa1 Pa 0.250 0.250 0.250
Pt1 Pt 0.000 0.000 0.000
Rh1 Rh 0.500 0.500 0.500
```


5.
This record from Alexandria via LeMat-Bulk describes crystalline PaRu2Pt at its relaxed geometry. The functional is GGA-PBE.

## Properties
- Crystal system: tetragonal
- E_form: -0.6801 eV per atom
- DOS(E_F): 0.974 states/eV/atom
- Offset from the most stable computed form: 0 meV/atom
- Space-group type: P4/mmm (123)

```
data_PaRu2Pt
_cell_length_a 3.933
_cell_length_b 4.151
_cell_length_c 4.151
_cell_angle_alpha 90.00
_cell_angle_beta 90.00
_cell_angle_gamma 90.00
_symmetry_space_group_name_H-M 'P 1'
_symmetry_Int_Tables_number 1
loop_
_symmetry_equiv_pos_as_xyz
'x,y,z'
loop_
_atom_site_label
_atom_site_type_symbol
_atom_site_fract_x
_atom_site_fract_y
_atom_site_fract_z
Pt1 Pt 0.500 0.000 0.000
Pa1 Pa 0.500 0.500 0.500
Ru1 Ru 0.000 0.000 0.500
Ru2 Ru 0.000 0.500 0.000
```


6.
This record from Alexandria via LeMat-Bulk describes crystalline Pa3RuPt2 at its relaxed geometry. The functional is GGA-PBE.

## Properties
- Crystal system: monoclinic
- E_form: -0.7209 eV per atom
- DOS(E_F): 1.345 states/eV/atom
- Space-group type: C2/c (15)

```
data_Pa3RuPt2
_cell_length_a 5.758
_cell_length_b 7.111
_cell_length_c 7.226
_cell_angle_alpha 101.73
_cell_angle_beta 113.48
_cell_angle_gamma 90.00
_symmetry_space_group_name_H-M 'P 1'
_symmetry_Int_Tables_number 1
loop_
_symmetry_equiv_pos_as_xyz
'x,y,z'
loop_
_atom_site_label
_atom_site_type_symbol
_atom_site_fract_x
_atom_site_fract_y
_atom_site_fract_z
Pt1 Pt 0.443 0.484 0.678
Pt2 Pt 0.557 0.516 0.322
Pt3 Pt 0.765 0.016 0.322
Pt4 Pt 0.235 0.984 0.678
Pa1 Pa 0.635 0.250 0.000
Pa2 Pa 0.729 0.865 0.663
Pa3 Pa 0.066 0.635 0.337
Pa4 Pa 0.934 0.365 0.663
Pa5 Pa 0.365 0.750 0.000
Pa6 Pa 0.271 0.135 0.337
Ru1 Ru 0.871 0.750 0.000
Ru2 Ru 0.129 0.250 0.000
```


7.
This record from Alexandria via LeMat-Bulk describes crystalline PaRuPt2 at its relaxed geometry. The functional is GGA-PBE.

## Properties
- Crystal system: tetragonal
- E_form: -0.9056 eV per atom
- DOS(E_F): 0.861 states/eV/atom
- Offset from the most stable computed form: 0 meV/atom
- Space-group type: P4/mmm (123)

```
data_PaRuPt2
_cell_length_a 4.328
_cell_length_b 4.016
_cell_length_c 4.016
_cell_angle_alpha 90.00
_cell_angle_beta 90.00
_cell_angle_gamma 90.00
_symmetry_space_group_name_H-M 'P 1'
_symmetry_Int_Tables_number 1
loop_
_symmetry_equiv_pos_as_xyz
'x,y,z'
loop_
_atom_site_label
_atom_site_type_symbol
_atom_site_fract_x
_atom_site_fract_y
_atom_site_fract_z
Ru1 Ru 0.500 0.000 0.000
Pa1 Pa 0.500 0.500 0.500
Pt1 Pt 0.000 0.500 0.000
Pt2 Pt 0.000 0.000 0.500
```


8.
This record from Alexandria via LeMat-Bulk describes crystalline PaRuPt2 at its relaxed geometry. The functional is GGA-PBE.

## Properties
- Crystal system: tetragonal
- E_form: -0.7689 eV per atom
- DOS(E_F): 1.316 states/eV/atom
- Offset from the most stable computed form: 137 meV/atom
- Space-group type: I4/mmm (139)

```
data_PaRuPt2
_cell_length_a 4.011
_cell_length_b 4.011
_cell_length_c 5.212
_cell_angle_alpha 112.57
_cell_angle_beta 112.63
_cell_angle_gamma 90.00
_symmetry_space_group_name_H-M 'P 1'
_symmetry_Int_Tables_number 1
loop_
_symmetry_equiv_pos_as_xyz
'x,y,z'
loop_
_atom_site_label
_atom_site_type_symbol
_atom_site_fract_x
_atom_site_fract_y
_atom_site_fract_z
Pt1 Pt 0.750 0.250 0.500
Pt2 Pt 0.250 0.750 0.500
Pa1 Pa 0.000 0.000 0.000
Ru1 Ru 0.500 0.500 0.000
```


9.
This record from Alexandria via LeMat-Bulk describes crystalline PaRuPt2 at its relaxed geometry. The functional is GGA-PBE.

## Properties
- Crystal system: cubic
- E_form: -0.4195 eV per atom
- DOS(E_F): 1.471 states/eV/atom
- Offset from the most stable computed form: 486 meV/atom
- Space-group type: Fm-3m (225)

```
data_PaRuPt2
_cell_length_a 4.695
_cell_length_b 4.695
_cell_length_c 4.696
_cell_angle_alpha 60.00
_cell_angle_beta 60.00
_cell_angle_gamma 60.00
_symmetry_space_group_name_H-M 'P 1'
_symmetry_Int_Tables_number 1
loop_
_symmetry_equiv_pos_as_xyz
'x,y,z'
loop_
_atom_site_label
_atom_site_type_symbol
_atom_site_fract_x
_atom_site_fract_y
_atom_site_fract_z
Ru1 Ru 0.000 0.000 0.000
Pa1 Pa 0.500 0.500 0.500
Pt1 Pt 0.750 0.750 0.750
Pt2 Pt 0.250 0.250 0.250
```


10.
This record from Alexandria via LeMat-Bulk describes crystalline Pa2Ru4Pt at its relaxed geometry. The functional is GGA-PBE.

## Properties
- Crystal system: orthorhombic
- E_form: -0.4311 eV per atom
- DOS(E_F): 1.152 states/eV/atom
- Space-group type: Cmmm (65)

```
data_Pa2Ru4Pt
_cell_length_a 4.024
_cell_length_b 5.632
_cell_length_c 5.632
_cell_angle_alpha 90.71
_cell_angle_beta 90.00
_cell_angle_gamma 90.00
_symmetry_space_group_name_H-M 'P 1'
_symmetry_Int_Tables_number 1
loop_
_symmetry_equiv_pos_as_xyz
'x,y,z'
loop_
_atom_site_label
_atom_site_type_symbol
_atom_site_fract_x
_atom_site_fract_y
_atom_site_fract_z
Pa1 Pa 0.000 0.221 0.779
Pa2 Pa 0.000 0.779 0.221
Ru1 Ru 0.500 0.500 0.000
Ru2 Ru 0.500 0.000 0.500
Ru3 Ru 0.000 0.262 0.262
Ru4 Ru 0.000 0.738 0.738
Pt1 Pt 0.500 0.500 0.500
```


11.
This record from Alexandria via LeMat-Bulk describes crystalline Pa8RuPt5 at its relaxed geometry. The functional is GGA-PBE.

## Properties
- Crystal system: tetragonal
- E_form: -0.6419 eV per atom
- DOS(E_F): 1.943 states/eV/atom
- Space-group type: I-4 (82)

```
data_Pa8RuPt5
_cell_length_a 7.480
_cell_length_b 7.480
_cell_length_c 7.480
_cell_angle_alpha 110.85
_cell_angle_beta 106.75
_cell_angle_gamma 110.85
_symmetry_space_group_name_H-M 'P 1'
_symmetry_Int_Tables_number 1
loop_
_symmetry_equiv_pos_as_xyz
'x,y,z'
loop_
_atom_site_label
_atom_site_type_symbol
_atom_site_fract_x
_atom_site_fract_y
_atom_site_fract_z
Pt1 Pt 0.900 0.892 0.245
Pt2 Pt 0.354 0.108 0.008
Pt3 Pt 0.500 0.000 0.500
Pt4 Pt 0.755 0.654 0.646
Pt5 Pt 0.992 0.346 0.100
Ru1 Ru 0.250 0.500 0.750
Pa1 Pa 0.280 0.284 0.397
Pa2 Pa 0.102 0.716 0.482
Pa3 Pa 0.004 0.117 0.720
Pa4 Pa 0.603 0.883 0.887
Pa5 Pa 0.766 0.284 0.386
Pa6 Pa 0.518 0.620 0.234
Pa7 Pa 0.113 0.716 0.996
Pa8 Pa 0.614 0.380 0.898
```


12.
This record from Alexandria via LeMat-Bulk describes crystalline Pa2Ru2Pt at its relaxed geometry. The functional is GGA-PBE.

## Properties
- Crystal system: orthorhombic
- E_form: -0.5708 eV per atom
- DOS(E_F): 1.097 states/eV/atom
- Space-group type: Immm (71)

```
data_Pa2Ru2Pt
_cell_length_a 4.015
_cell_length_b 5.366
_cell_length_c 5.366
_cell_angle_alpha 76.04
_cell_angle_beta 68.03
_cell_angle_gamma 68.03
_symmetry_space_group_name_H-M 'P 1'
_symmetry_Int_Tables_number 1
loop_
_symmetry_equiv_pos_as_xyz
'x,y,z'
loop_
_atom_site_label
_atom_site_type_symbol
_atom_site_fract_x
_atom_site_fract_y
_atom_site_fract_z
Ru1 Ru 0.500 0.295 0.705
Ru2 Ru 0.500 0.705 0.295
Pt1 Pt 0.000 0.000 0.000
Pa1 Pa 0.219 0.281 0.281
Pa2 Pa 0.781 0.719 0.719
```


13.
This record from Alexandria via LeMat-Bulk describes crystalline PaRu2Pt at its relaxed geometry. The functional is GGA-PBE.

## Properties
- Crystal system: trigonal
- E_form: -0.4463 eV per atom
- DOS(E_F): 1.003 states/eV/atom
- Offset from the most stable computed form: 234 meV/atom
- Space-group type: R-3m (166)

```
data_PaRu2Pt
_cell_length_a 4.696
_cell_length_b 4.696
_cell_length_c 4.705
_cell_angle_alpha 60.07
_cell_angle_beta 60.07
_cell_angle_gamma 60.00
_symmetry_space_group_name_H-M 'P 1'
_symmetry_Int_Tables_number 1
loop_
_symmetry_equiv_pos_as_xyz
'x,y,z'
loop_
_atom_site_label
_atom_site_type_symbol
_atom_site_fract_x
_atom_site_fract_y
_atom_site_fract_z
Ru1 Ru 0.293 0.293 0.120
Ru2 Ru 0.707 0.707 0.880
Pa1 Pa 0.500 0.500 0.500
Pt1 Pt 0.000 0.000 0.000
```